*i*
First-principles (PBE) data for YMnPb2 after structural relaxation, as listed in Alexandria via LeMat-Bulk.

The structure in POSCAR format:
```
YMnPb2
1.0
9.7637 0.0724 0.0428
9.0822 3.5845 0.0428
9.0822 1.7623 3.1216
Pb Y Mn
2 1 1
Direct
0.0082 0.0082 0.0082
0.4918 0.4918 0.4918
0.2500 0.2500 0.2500
0.7500 0.7500 0.7500
```

## Properties
Size of the total moment ... 4.59 μB/f.u.

***

*ii*
First-principles (PBE) data for YMnPb2 after structural relaxation, as listed in Alexandria via LeMat-Bulk.

The structure in POSCAR format:
```
YMnPb2
1.0
6.0539 0.0002 0.0000
2.8407 5.3460 0.0000
-4.4473 -2.6731 3.1186
Pb Y Mn
2 1 1
Direct
0.2500 0.7500 0.5000
0.0000 0.0000 0.0000
0.5000 0.5000 0.0000
0.7500 0.2500 0.5000
```

## Properties
Size of the total moment ... 3.95 μB/f.u.

***

According to the calculations, the structures order from most to least stable as *ii*, *i*.